Ba3Cd2Ga2Ge4: relaxed, PBE.

Values from the calculation:
Its space group is P-3m1 (164).

a = 4.4560 Å, b = 4.4560 Å, c = 18.3004 Å
α = 90.00°, β = 90.00°, γ = 120.00°
Atoms (fractional coordinates):
1 Ba 0.0000 0.0000 0.0000
2 Ba 0.0000 0.0000 0.2834
3 Ba 0.0000 0.0000 0.7166
4 Cd 0.3333 0.6667 0.5518
5 Cd 0.6667 0.3333 0.4482
6 Ga 0.3333 0.6667 0.1500
7 Ga 0.6667 0.3333 0.8500
8 Ge 0.3333 0.6667 0.3976
9 Ge 0.3333 0.6667 0.8707
10 Ge 0.6667 0.3333 0.1293
11 Ge 0.6667 0.3333 0.6024

Ba2CdGa4Hg3: relaxed, PBE.

Values from the calculation:
Its space group is P-4m2 (115).

a = 4.7888 Å, b = 4.7888 Å, c = 11.4499 Å
α = 90.00°, β = 90.00°, γ = 90.00°
Atoms (fractional coordinates):
1 Ba 0.0000 0.5000 0.2483
2 Ba 0.5000 0.0000 0.7517
3 Cd 0.0000 0.0000 0.5000
4 Ga 0.0000 0.0000 0.0000
5 Ga 0.0000 0.5000 0.6320
6 Ga 0.5000 0.0000 0.3680
7 Ga 0.5000 0.5000 0.0000
8 Hg 0.0000 0.5000 0.8706
9 Hg 0.5000 0.0000 0.1294
10 Hg 0.5000 0.5000 0.5000

Ba2Cd4Ga3Hg: relaxed, PBE.

Values from the calculation:
Its space group is P-4m2 (115).

a = 4.7752 Å, b = 4.7752 Å, c = 11.8468 Å
α = 90.00°, β = 90.00°, γ = 90.00°
Atoms (fractional coordinates):
1 Ba 0.0000 0.5000 0.2470
2 Ba 0.5000 0.0000 0.7530
3 Cd 0.0000 0.0000 0.0000
4 Cd 0.0000 0.5000 0.6380
5 Cd 0.5000 0.0000 0.3620
6 Cd 0.5000 0.5000 0.0000
7 Ga 0.0000 0.5000 0.8702
8 Ga 0.5000 0.0000 0.1298
9 Ga 0.5000 0.5000 0.5000
10 Hg 0.0000 0.0000 0.5000

Ba2Cd3Ga4Hg: relaxed, PBE.

Values from the calculation:
Its space group is P-4m2 (115).

a = 4.7823 Å, b = 4.7823 Å, c = 11.4907 Å
α = 90.00°, β = 90.00°, γ = 90.00°
Atoms (fractional coordinates):
1 Ba 0.0000 0.5000 0.2494
2 Ba 0.5000 0.0000 0.7506
3 Cd 0.0000 0.5000 0.8713
4 Cd 0.5000 0.0000 0.1287
5 Cd 0.5000 0.5000 0.5000
6 Ga 0.0000 0.0000 0.0000
7 Ga 0.0000 0.5000 0.6322
8 Ga 0.5000 0.0000 0.3678
9 Ga 0.5000 0.5000 0.0000
10 Hg 0.0000 0.0000 0.5000

Number 1: energy of formation from the pure elements -375 meV per atom, magnetization 0.0000 μB per atom, ρ 5.6 Mg/m³. Number 2: energy of formation from the pure elements -360 meV per atom, magnetization 0.0000 μB per atom, ρ 8.0 Mg/m³. Number 3: energy of formation from the pure elements -310 meV per atom, magnetization 0.0000 μB per atom, ρ 7.0 Mg/m³. Number 4: energy of formation from the pure elements -329 meV per atom, magnetization 0.0000 μB per atom, ρ 6.9 Mg/m³.